Record 1
A geometry-optimized Tl2ZnTcBi structure, computed with PBE.

a b c (Å): 6.192 5.280 6.192
angles (deg): 90.00 90.00 90.00
Last column: magnetic moment on the atom in μB.
Atoms (fractional coordinates):
1 Tc 0.000 0.500 0.000  2.63
2 Tl 0.000 0.000 0.500  0.00
3 Tl 0.500 0.000 0.000  -0.02
4 Bi 0.000 0.000 0.000  -0.07
5 Zn 0.500 0.500 0.500  0.01

Computed properties:
V (Å³/atom): 40.49
SG: P4/mmm
Fermi-level density of states (states/eV per cell): 5.63

=====

Record 2
A geometry-optimized Ta6MnW5 structure, computed with PBE.

a b c (Å): 4.544 6.446 7.888
angles (deg): 114.12 106.74 90.00
Atoms (fractional coordinates):
1 Ta 0.164 0.412 0.329
2 Ta 0.164 0.917 0.329
3 Ta 0.836 0.083 0.671
4 Ta 0.500 0.245 0.000
5 Ta 0.836 0.588 0.671
6 Ta 0.500 0.755 0.000
7 Mn 0.000 0.000 0.000
8 W 0.666 0.666 0.332
9 W 0.000 0.500 0.000
10 W 0.333 0.833 0.667
11 W 0.334 0.334 0.668
12 W 0.667 0.167 0.333

Computed properties:
V (Å³/atom): 16.68
SG: Immm
Fermi-level density of states (states/eV per cell): 8.34

=====

We obtain total energy values of -2.90, -12.19 eV/atom for the records listed above, in that order.